A plane-wave DFT calculation with PBE was carried out for CrIn4 after structural relaxation.

Output
The value obtained for the formation energy is 246 meV per atom. For the energy above the most stable polymorph in this dataset, the calculation gives 138 meV/atom.

Cell: 7.191 7.191 4.586 Å, 90.00 90.00 90.00°
Space group I4/m (No. 87)
Inequivalent atoms, fractional coordinates:
Cr1 0.000 0.000 0.000
In1 0.107 0.297 0.500

A plane-wave DFT calculation with PBE was carried out for Cr3In after structural relaxation.

Output
The value obtained for the formation energy is 242 meV per atom.

Cell: 3.008 3.008 6.500 Å, 90.00 90.00 90.00°
Space group P4/mmm (No. 123)
Inequivalent atoms, fractional coordinates:
Cr1 0.000 0.000 0.000
Cr2 0.500 0.500 0.210
In1 0.000 0.000 0.500

A plane-wave DFT calculation with PBE was carried out for Cr2In after structural relaxation.

Output
The value obtained for the formation energy is 1038 meV per atom.

Cell: 6.413 6.413 6.413 Å, 90.00 90.00 90.00°
Space group Fm-3m (No. 225)
Inequivalent atoms, fractional coordinates:
Cr1 0.250 0.250 0.250
In1 0.000 0.000 0.000

A plane-wave DFT calculation with PBE was carried out for Cr2In after structural relaxation.

Output
The value obtained for the formation energy is 360 meV per atom.

Cell: 5.727 4.274 8.083 Å, 90.00 90.00 90.00°
Space group Pnma (No. 62)
Inequivalent atoms, fractional coordinates:
Cr1 0.041 0.250 0.216
Cr2 0.147 0.250 0.920
In1 0.158 0.250 0.583

A plane-wave DFT calculation with PBE was carried out for Cr3In after structural relaxation.

Output
The value obtained for the formation energy is 552 meV per atom.

Cell: 3.778 3.778 7.786 Å, 90.00 90.00 90.00°
Space group I4/mmm (No. 139)
Inequivalent atoms, fractional coordinates:
Cr1 0.000 0.000 0.000
Cr2 0.000 0.500 0.250
In1 0.000 0.000 0.500

A plane-wave DFT calculation with PBE was carried out for CrIn2 after structural relaxation.

Output
The value obtained for the formation energy is 296 meV per atom.

Cell: 6.670 6.670 5.609 Å, 90.00 90.00 90.00°
Space group I4/mcm (No. 140)
Inequivalent atoms, fractional coordinates:
Cr1 0.000 0.000 0.250
In1 0.213 0.287 0.000